a) Density functional theory data (GGA-PBE) for an optimized crystal structure of K3Si2P4.

Space group: C2/m, No. 12
Fermi-level density of states in states/eV/f.u.: 2.83
V in Å³/cell: 249
Total moment in μB per formula unit: 0.00
Crystal system: monoclinic

Unit cell a=3.648 b=8.207 c=10.848 alpha=127.08 beta=90.00 gamma=102.84
Element x y z (fractional)
K1 0.000 0.000 0.000
Si1 0.288 0.576 0.645
K2 0.601 0.201 0.773
Si2 0.712 0.424 0.355
K3 0.399 0.799 0.227
P1 0.133 0.267 0.385
P2 0.710 0.420 0.154
P3 0.867 0.733 0.615
P4 0.290 0.580 0.846

=====

b) Density functional theory data (GGA-PBE) for an optimized crystal structure of K3Si2P4.

Space group: C2/c, No. 15
Fermi-level density of states in states/eV/f.u.: 7.49
V in Å³/cell: 484
Total moment in μB per formula unit: 0.65
Crystal system: monoclinic

Unit cell a=6.502 b=8.887 c=8.887 alpha=70.61 beta=88.33 gamma=88.33
Element x y z (fractional)
P1 0.517 0.056 0.667
P2 0.611 0.396 0.258
K1 0.025 0.013 0.748
Si1 0.551 0.831 0.598
K2 0.475 0.252 0.987
P3 0.483 0.944 0.333
P4 0.389 0.604 0.742
Si2 0.449 0.169 0.402
P5 0.983 0.333 0.944
P6 0.889 0.742 0.604
K3 0.525 0.748 0.013
Si3 0.949 0.402 0.169
Si4 0.051 0.598 0.831
P7 0.017 0.667 0.056
P8 0.111 0.258 0.396
K4 0.750 0.399 0.601
K5 0.250 0.601 0.399
K6 0.975 0.987 0.252

=====

Which one is most stable, and which one is least stable? b) is the most stable of them, while a) is the least stable.

=====

a) Density functional theory data (GGA-PBE) for an optimized crystal structure of KSn3P.

Space group: Pm-3m, No. 221
Fermi-level density of states in states/eV/f.u.: 5.12
V in Å³/cell: 195
Total moment in μB per formula unit: 0.00
Crystal system: cubic

Unit cell a=5.801 b=5.801 c=5.801 alpha=90.00 beta=90.00 gamma=90.00
Element x y z (fractional)
Sn1 0.500 0.000 0.000
Sn2 0.000 0.000 0.500
Sn3 0.000 0.500 0.000
K1 0.000 0.000 0.000
P1 0.500 0.500 0.500

=====

b) Density functional theory data (GGA-PBE) for an optimized crystal structure of KSn3P.

Space group: Pm-3m, No. 221
Fermi-level density of states in states/eV/f.u.: 3.64
V in Å³/cell: 161
Total moment in μB per formula unit: 0.00
Crystal system: cubic

Unit cell a=5.439 b=5.439 c=5.439 alpha=90.00 beta=90.00 gamma=90.00
Element x y z (fractional)
P1 0.000 0.000 0.000
K1 0.500 0.500 0.500
Sn1 0.500 0.000 0.000
Sn2 0.000 0.000 0.500
Sn3 0.000 0.500 0.000

=====

Which one is most stable, and which one is least stable? b) is the most stable of them, while a) is the least stable.